Model a:
Computed, not measured: a geometry-optimized Li2OF structure at the PBE level of DFT.

Structure (POSCAR):
```
Li2OF
1.0
0.839 2.787 2.171
-2.119 0.791 2.840
1.183 -0.621 3.376
F O Li
1 1 2
direct
0.500 0.500 0.500
0.000 0.000 0.000
0.750 0.750 0.750
0.250 0.250 0.250
```

Computed properties:
symmetry	Fm-3m, No. 225
total magnetic moment	1.00	μB per cell

---

Model b:
Computed, not measured: a geometry-optimized Li2OF structure at the PBE level of DFT.

Structure (POSCAR):
```
Li2OF
1.0
2.792 0.000 0.000
1.396 2.418 0.000
1.396 0.806 5.115
O Li F
1 2 1
direct
0.000 0.000 0.000
0.756 0.756 0.733
0.244 0.244 0.267
0.500 0.500 0.500
```

Computed properties:
symmetry	R-3m, No. 166
total magnetic moment	1.00	μB per cell

---

Most stable pick: model b. Distance to second place: 328 meV/atom.